1.
A plane-wave DFT calculation with PBE was carried out for an optimized crystal structure of Sm2Ge2O7.

Properties
size of the total moment = 0.00 μB per cell
energy relative to the lowest polymorph listed for this composition = 44 meV per atom
uncorrected formation energy = -2525 meV/atom

abc: 7.1963 7.1963 7.1963
angles: 60.00 60.00 60.00
With the nearest neighbours (Å) after each atom.
Atoms (fractional coordinates):
Sm  0.1250  0.1250  0.6250  2 O 2.20
O  0.9506  0.5494  0.9506  2 Ge 1.96
O  0.2994  0.7006  0.7006  2 Ge 1.96
O  0.5494  0.9506  0.9506  2 Ge 1.96
Ge  0.1250  0.6250  0.6250  6 O 1.96
O  0.5494  0.5494  0.9506  2 Ge 1.96
O  0.0000  0.0000  0.0000  4 Sm 2.20
O  0.2994  0.2994  0.7006  2 Ge 1.96
Sm  0.1250  0.1250  0.1250  2 O 2.20
O  0.9506  0.5494  0.5494  2 Ge 1.96
O  0.7006  0.7006  0.2994  2 Ge 1.96
Sm  0.6250  0.1250  0.1250  2 O 2.20
O  0.2994  0.7006  0.2994  2 Ge 1.96
O  0.5494  0.9506  0.5494  2 Ge 1.96
Sm  0.1250  0.6250  0.1250  2 O 2.20
O  0.2500  0.2500  0.2500  4 Sm 2.20
Ge  0.6250  0.1250  0.6250  6 O 1.96
Ge  0.6250  0.6250  0.6250  6 O 1.96
O  0.9506  0.9506  0.5494  2 Ge 1.96
O  0.7006  0.2994  0.2994  2 Ge 1.96
Ge  0.6250  0.6250  0.1250  6 O 1.96
O  0.7006  0.2994  0.7006  2 Ge 1.96

---

2.
A plane-wave DFT calculation with PBE was carried out for an optimized crystal structure of VCo2NiH.

Properties
size of the total moment = 0.12 μB per cell
energy relative to the lowest polymorph listed for this composition = 34 meV per atom

abc: 3.5593 3.5593 3.6655
angles: 90.00 90.00 90.00
With the nearest neighbours (Å) after each atom.
Atoms (fractional coordinates):
V  0.0000  0.0000  0.5000  2 H 1.83
Ni  0.5000  0.5000  0.5000  4 V 2.52, 8 Co 2.55
H  0.0000  0.0000  0.0000  4 Co 1.78, 2 V 1.83
Co  0.0000  0.5000  0.0000  2 H 1.78
Co  0.5000  0.0000  0.0000  2 H 1.78

---

3.
A plane-wave DFT calculation with PBE was carried out for an optimized crystal structure of BeTlSe2N.

Properties
size of the total moment = 0.00 μB per cell
energy relative to the lowest polymorph listed for this composition = 0 meV per atom
uncorrected formation energy = 341 meV/atom

abc: 5.5914 5.5914 3.0791
angles: 90.00 90.00 90.00
With the nearest neighbours (Å) after each atom.
Atoms (fractional coordinates):
Se  0.5000  0.0000  0.0000  2 Be 2.80, 2 Se 3.08
Tl  0.5000  0.5000  0.5000  2 Tl 3.08, 8 Se 3.19
Be  0.0000  0.0000  0.0000  2 N 1.54
N  0.0000  0.0000  0.5000  2 Be 1.54
Se  0.0000  0.5000  0.0000  2 Be 2.80, 2 Se 3.08

---

4.
A plane-wave DFT calculation with PBE was carried out for an optimized crystal structure of Mg6Ag5Sn.

Properties
size of the total moment = 0.00 μB per cell
calculated formation energy = -0.21 eV/atom

abc: 4.6974 8.2198 8.2198
angles: 118.36 106.60 106.60
With the nearest neighbours (Å) after each atom.
Atoms (fractional coordinates):
Mg  0.2308  0.7308  0.7308  6 Ag 2.85-2.98, 2 Sn 3.01
Ag  0.5000  0.8363  0.1637  8 Mg 2.87-2.98
Sn  0.0000  0.0000  0.0000  8 Mg 3.01-3.03, 4 Ag 3.30
Mg  0.2588  0.0870  0.4307  7 Ag 2.87-2.97, 1 Sn 3.03
Ag  0.0000  0.3327  0.6673  8 Mg 2.86-2.90
Mg  0.7412  0.5693  0.9130  7 Ag 2.87-2.97, 1 Sn 3.03
Ag  0.0000  0.6673  0.3327  8 Mg 2.86-2.90
Mg  0.7412  0.9130  0.5693  7 Ag 2.87-2.97, 1 Sn 3.03
Ag  0.5000  0.1637  0.8363  8 Mg 2.87-2.98
Mg  0.2588  0.4307  0.0870  7 Ag 2.87-2.97, 1 Sn 3.03
Mg  0.7692  0.2692  0.2692  6 Ag 2.85-2.98, 2 Sn 3.01
Ag  0.5000  0.5000  0.5000  8 Mg 2.85-2.95

---

5.
A plane-wave DFT calculation with PBE was carried out for an optimized crystal structure of Pm2YRh3.

Properties
size of the total moment = 0.00 μB per cell
energy relative to the lowest polymorph listed for this composition = 0 meV per atom
calculated formation energy = -0.73 eV/atom

abc: 3.4839 3.4839 10.5248
angles: 90.00 90.00 90.00
With the nearest neighbours (Å) after each atom.
Atoms (fractional coordinates):
Rh  0.0000  0.0000  0.3387  4 Y 2.99, 4 Pm 3.04
Y  0.5000  0.5000  0.5000  8 Rh 2.99
Pm  0.5000  0.5000  0.8311  8 Rh 3.04
Pm  0.5000  0.5000  0.1689  8 Rh 3.04
Rh  0.0000  0.0000  0.0000  8 Pm 3.04
Rh  0.0000  0.0000  0.6613  4 Y 2.99, 4 Pm 3.04

---

6.
A plane-wave DFT calculation with PBE was carried out for an optimized crystal structure of Ce2PmZnC.

Properties
size of the total moment = 0.67 μB per cell
calculated formation energy = -0.11 eV/atom

abc: 4.8850 4.8850 5.0933
angles: 90.00 90.00 90.00
With the nearest neighbours (Å) after each atom.
Atoms (fractional coordinates):
Zn  0.5000  0.5000  0.5005  4 Pm 3.45, 8 Ce 3.53
Pm  0.0000  0.0000  0.4999  2 C 2.55
Ce  0.5000  0.0000  0.9999  2 C 2.44
Ce  0.0000  0.5000  0.9999  2 C 2.44
C  0.0000  0.0000  0.9998  4 Ce 2.44, 2 Pm 2.55

---

7.
A plane-wave DFT calculation with PBE was carried out for an optimized crystal structure of Pr14TmTl.

Properties
size of the total moment = 0.00 μB per cell
calculated formation energy = -0.03 eV/atom

abc: 7.3031 7.3031 10.4225
angles: 90.00 90.00 90.00
With the nearest neighbours (Å) after each atom.
Atoms (fractional coordinates):
Pr  0.8748  0.6249  0.5000  12 Pr 3.64-3.71
Pr  0.1239  0.3739  0.2445  1 Tl 3.62, 10 Pr 3.63-3.72, 1 Tm 3.64
Pr  0.6260  0.3740  0.7562  1 Tl 3.62, 10 Pr 3.63-3.72, 1 Tm 3.63
Pr  0.6261  0.8761  0.7555  1 Tl 3.62, 10 Pr 3.63-3.72, 1 Tm 3.64
Pr  0.1242  0.8758  0.2452  1 Tl 3.63, 10 Pr 3.63-3.72, 1 Tm 3.64
Tl  0.8752  0.1248  0.0000  12 Pr 3.62-3.66
Tm  0.3748  0.6252  0.0000  12 Pr 3.63-3.66
Pr  0.6261  0.8761  0.2445  1 Tl 3.62, 10 Pr 3.63-3.72, 1 Tm 3.64
Pr  0.3751  0.1252  0.5000  12 Pr 3.64-3.71
Pr  0.3757  0.6243  0.5000  12 Pr 3.64-3.72
Pr  0.1242  0.8758  0.7548  1 Tl 3.63, 10 Pr 3.63-3.72, 1 Tm 3.64
Pr  0.8746  0.1254  0.5000  12 Pr 3.65-3.70
Pr  0.1239  0.3739  0.7555  1 Tl 3.62, 10 Pr 3.63-3.72, 1 Tm 3.64
Pr  0.3739  0.1246  0.0000  8 Pr 3.63, 2 Tl 3.64-3.66, 2 Tm 3.65-3.66
Pr  0.8754  0.6261  0.0000  8 Pr 3.63, 2 Tl 3.64-3.66, 2 Tm 3.65-3.66
Pr  0.6260  0.3740  0.2438  1 Tl 3.62, 10 Pr 3.63-3.72, 1 Tm 3.63

---

8.
A plane-wave DFT calculation with PBE was carried out for an optimized crystal structure of La3PbO.

Properties
size of the total moment = 0.00 μB per cell
uncorrected formation energy = -1370 meV/atom

abc: 6.2441 6.2442 8.1270
angles: 73.20 106.80 75.32
With the nearest neighbours (Å) after each atom.
Atoms (fractional coordinates):
La  0.9514  0.0845  0.0225  2 O 2.47
O  0.7009  0.8350  0.0226  6 La 2.47-2.60
La  0.8267  0.7086  0.7761  2 O 2.60
La  0.0746  0.4610  0.2690  2 O 2.60
La  0.4503  0.5856  0.0225  2 O 2.47
Pb  0.2006  0.8352  0.5225  10 La 3.58-3.62, 2 Pb 3.81-3.82
O  0.2009  0.3350  0.0226  6 La 2.47-2.60
Pb  0.7010  0.3348  0.5225  10 La 3.58-3.62, 2 Pb 3.81-3.82
La  0.5748  0.9612  0.2690  2 O 2.60
La  0.3273  0.2092  0.7761  2 O 2.60